Computed, not measured: crystalline Pm5PrTm2Sc at its relaxed geometry at the GGA-PBE level of DFT.

Output
Calculated formation energy   0.17 eV per atom
Calculated volume   596 Å³ per cell

abc: 10.5149 10.5149 10.4581
angles: 90.00 90.00 148.96
Last column: nearest neighbours and their distance in Å.
Element x y z (fractional)
Pm 0.0161 0.9839 0.5000  2 Pr 3.12-3.35
Pm 0.1244 0.8756 0.2225  4 Tm 3.58-3.62, 4 Pm 3.60-3.76, 1 Sc 3.67
Pm 0.2012 0.7988 0.5331  4 Pm 3.40-3.77, 1 Pr 3.46, 2 Sc 3.47, 3 Tm 3.50-3.71
Pm 0.2245 0.7755 0.9200  1 Pr 3.05, 1 Tm 3.31, 2 Pm 3.40
Pm 0.4834 0.5166 0.2262  2 Pr 3.25, 4 Tm 3.39-3.64, 1 Sc 3.61
Pm 0.5166 0.4834 0.7262  2 Pr 3.25, 4 Tm 3.39-3.64, 1 Sc 3.61
Pm 0.7755 0.2245 0.4200  1 Pr 3.05, 1 Tm 3.31, 2 Pm 3.40
Pm 0.7988 0.2012 0.0331  4 Pm 3.40-3.77, 1 Pr 3.46, 2 Sc 3.47, 3 Tm 3.50-3.71
Pm 0.8756 0.1244 0.7225  4 Tm 3.58-3.62, 4 Pm 3.60-3.76, 1 Sc 3.67
Pm 0.9839 0.0161 0.0000  2 Pr 3.12-3.35
Pr 0.0910 0.9090 0.7860  5 Pm 3.05-3.35
Pr 0.9090 0.0910 0.2860  5 Pm 3.05-3.35
Tm 0.3836 0.6164 0.5054  1 Sc 3.32, 7 Pm 3.55-3.71, 2 Pr 3.67
Tm 0.3875 0.6125 0.9325  9 Pm 3.31-3.64, 1 Sc 3.50
Tm 0.6125 0.3875 0.4325  9 Pm 3.31-3.64, 1 Sc 3.50
Tm 0.6164 0.3836 0.0054  1 Sc 3.32, 7 Pm 3.55-3.71, 2 Pr 3.67
Sc 0.3053 0.6947 0.2268  2 Tm 3.32-3.50, 7 Pm 3.47-3.67, 2 Pr 3.57
Sc 0.6947 0.3053 0.7268  2 Tm 3.32-3.50, 7 Pm 3.47-3.67, 2 Pr 3.57